DFT (PBE) results for an optimized crystal structure of PmAl8Cu2.

Results
calculated total energy: -40.99 eV per formula unit
ρ: 3.19 g/cm3
formation energy from the elements: 16.6 kJ per mole of atoms
DOS at the Fermi energy: 7.35 states/eV/cell

a = 5.652 Å, b = 5.652 Å, c = 7.951 Å
α = 90.00°, β = 90.00°, γ = 90.00°
Space group P4/mmm (No. 123)
Symmetry-distinct sites (fractional):
Pm1 0.000 0.000 0.000 (multiplicity 1)
Al1 0.249 0.249 0.315 (multiplicity 8)
Cu1 0.000 0.500 0.500 (multiplicity 2)